# 1
Density functional theory data (PBE-GGA) for a geometry-optimized Pr15Y4Al structure.

Calculated values
Total moment: 0.0 μB per formula unit
DOS at the Fermi energy: 1.356 states/eV per atom

abc: 5.136 5.136 25.912
angles: 90.00 90.00 90.00
Atoms (fractional coordinates):
Pr (0.000, 0.000, 0.000)
Pr (0.000, 0.000, 0.195)
Pr (0.000, 0.000, 0.398)
Pr (0.000, 0.000, 0.602)
Pr (0.000, 0.000, 0.805)
Pr (0.000, 0.500, 0.093)
Pr (0.000, 0.500, 0.297)
Pr (0.000, 0.500, 0.500)
Pr (0.000, 0.500, 0.703)
Pr (0.000, 0.500, 0.907)
Pr (0.500, 0.000, 0.093)
Pr (0.500, 0.000, 0.297)
Pr (0.500, 0.000, 0.500)
Pr (0.500, 0.000, 0.703)
Pr (0.500, 0.000, 0.907)
Y (0.500, 0.500, 0.196)
Y (0.500, 0.500, 0.399)
Y (0.500, 0.500, 0.601)
Y (0.500, 0.500, 0.804)
Al (0.500, 0.500, 0.000)

---

# 2
Density functional theory data (PBE-GGA) for a geometry-optimized YMgP2 structure.

Calculated values
Total moment: 0.0 μB per formula unit
DOS at the Fermi energy: 0.447 states/eV per atom

abc: 3.887 3.887 10.263
angles: 90.00 90.00 90.00
Atoms (fractional coordinates):
Y (0.000, 0.000, 0.000)
Y (0.500, 0.500, 0.500)
Mg (0.000, 0.500, 0.750)
Mg (0.500, 0.000, 0.250)
P (0.000, 0.000, 0.500)
P (0.000, 0.500, 0.250)
P (0.500, 0.000, 0.750)
P (0.500, 0.500, 0.000)

---

# 3
Density functional theory data (PBE-GGA) for a geometry-optimized Dy3Ga2Pd6 structure.

Calculated values
Total moment: 0.0 μB per formula unit
DOS at the Fermi energy: 0.584 states/eV per atom

abc: 8.202 8.202 8.202
angles: 109.47 109.47 109.47
Atoms (fractional coordinates):
Dy (0.000, 0.294, 0.294)
Dy (0.000, 0.706, 0.706)
Dy (0.294, 0.000, 0.294)
Dy (0.294, 0.294, 0.000)
Dy (0.706, 0.000, 0.706)
Dy (0.706, 0.706, 0.000)
Ga (0.000, 0.000, 0.500)
Ga (0.000, 0.500, 0.000)
Ga (0.500, 0.000, 0.000)
Ga (0.500, 0.500, 0.500)
Pd (0.000, 0.331, 0.669)
Pd (0.000, 0.669, 0.331)
Pd (0.331, 0.000, 0.669)
Pd (0.331, 0.331, 0.663)
Pd (0.331, 0.663, 0.331)
Pd (0.331, 0.669, 0.000)
Pd (0.337, 0.669, 0.669)
Pd (0.663, 0.331, 0.331)
Pd (0.669, 0.000, 0.331)
Pd (0.669, 0.331, 0.000)
Pd (0.669, 0.337, 0.669)
Pd (0.669, 0.669, 0.337)

---

Asked for formation energy from the elements across the records above, the calculation gives -0.014; -0.695; -0.844 eV per atom in order.
Asked for theoretical density across the records above, the calculation gives 6.06; 3.75; 9.89 Mg/m³ in order.